1.
Compound: Rb2ScTl
Source: Alexandria via LeMat-Bulk
Functional: GGA-PBE
Structure: optimized geometry

The structure in CIF format:
```
data_Rb2ScTl
_chemical_formula_sum 'Rb8 Sc4 Tl4'
_symmetry_space_group_name_H-M 'F m -3 m'
_symmetry_Int_Tables_number 225
_symmetry_space_group_name_Hall '-F 4 2 3'
_cell_length_a 8.946
_cell_length_b 8.946
_cell_length_c 8.946
_cell_angle_alpha 90.00
_cell_angle_beta 90.00
_cell_angle_gamma 90.00
loop_
_atom_site_label
_atom_site_type_symbol
_atom_site_fract_x
_atom_site_fract_y
_atom_site_fract_z
_atom_site_occupancy
Rb1 Rb 0.250 0.250 0.250 1
Sc1 Sc 0.000 0.000 0.000 1
Tl1 Tl 0.000 0.000 0.500 1
```

N(E_F) = 1.76 states/eV per atom
spin magnetization = 0.6 μB per formula unit
DFT formation energy = 0.640 eV per atom
distance to the lowest polymorph of the same formula = 18.1 kJ/mol of atoms


2.
Compound: Rb2ScTl2
Source: Alexandria via LeMat-Bulk
Functional: GGA-PBE
Structure: optimized geometry

The structure in CIF format:
```
data_Rb2ScTl2
_chemical_formula_sum 'Rb4 Sc2 Tl4'
_symmetry_space_group_name_H-M 'P 4/m b m'
_symmetry_Int_Tables_number 127
_symmetry_space_group_name_Hall '-P 4 2ab'
_cell_length_a 7.943
_cell_length_b 7.943
_cell_length_c 6.471
_cell_angle_alpha 90.00
_cell_angle_beta 90.00
_cell_angle_gamma 90.00
loop_
_atom_site_label
_atom_site_type_symbol
_atom_site_fract_x
_atom_site_fract_y
_atom_site_fract_z
_atom_site_occupancy
Rb1 Rb 0.173 0.327 0.000 1
Sc1 Sc 0.000 0.000 0.500 1
Tl1 Tl 0.151 0.651 0.500 1
```

N(E_F) = 1.17 states/eV per atom
spin magnetization = 0.7 μB per formula unit
DFT formation energy = 0.193 eV per atom


3.
Compound: RbSc2Tl2
Source: Alexandria via LeMat-Bulk
Functional: GGA-PBE
Structure: optimized geometry

The structure in CIF format:
```
data_RbSc2Tl2
_chemical_formula_sum 'Rb2 Sc4 Tl4'
_symmetry_space_group_name_H-M 'P 4/m b m'
_symmetry_Int_Tables_number 127
_symmetry_space_group_name_Hall '-P 4 2ab'
_cell_length_a 9.241
_cell_length_b 9.241
_cell_length_c 3.278
_cell_angle_alpha 90.00
_cell_angle_beta 90.00
_cell_angle_gamma 90.00
loop_
_atom_site_label
_atom_site_type_symbol
_atom_site_fract_x
_atom_site_fract_y
_atom_site_fract_z
_atom_site_occupancy
Rb1 Rb 0.000 0.000 0.000 1
Sc1 Sc 0.122 0.378 0.000 1
Tl1 Tl 0.173 0.673 0.500 1
```

N(E_F) = 0.73 states/eV per atom
spin magnetization = 0.3 μB per formula unit
DFT formation energy = -0.055 eV per atom
distance to the lowest polymorph of the same formula = 0.0 kJ/mol of atoms


4.
Compound: RbScTl2
Source: Alexandria via LeMat-Bulk
Functional: GGA-PBE
Structure: optimized geometry

The structure in CIF format:
```
data_RbScTl2
_chemical_formula_sum 'Rb4 Sc4 Tl8'
_symmetry_space_group_name_H-M 'I -4 2 d'
_symmetry_Int_Tables_number 122
_symmetry_space_group_name_Hall 'I -4 2bw'
_cell_length_a 5.962
_cell_length_b 5.962
_cell_length_c 20.029
_cell_angle_alpha 90.00
_cell_angle_beta 90.00
_cell_angle_gamma 90.00
loop_
_atom_site_label
_atom_site_type_symbol
_atom_site_fract_x
_atom_site_fract_y
_atom_site_fract_z
_atom_site_occupancy
Rb1 Rb 0.000 0.000 0.000 1
Sc1 Sc 0.000 0.000 0.500 1
Tl1 Tl 0.094 0.250 0.625 1
```

N(E_F) = 0.89 states/eV per atom
spin magnetization = 1.2 μB per formula unit
DFT formation energy = 0.304 eV per atom
distance to the lowest polymorph of the same formula = 40.5 kJ/mol of atoms


5.
Compound: RbScTl2
Source: Alexandria via LeMat-Bulk
Functional: GGA-PBE
Structure: optimized geometry

The structure in CIF format:
```
data_RbScTl2
_chemical_formula_sum 'Rb4 Sc4 Tl8'
_symmetry_space_group_name_H-M 'F m -3 m'
_symmetry_Int_Tables_number 225
_symmetry_space_group_name_Hall '-F 4 2 3'
_cell_length_a 7.948
_cell_length_b 7.948
_cell_length_c 7.948
_cell_angle_alpha 90.00
_cell_angle_beta 90.00
_cell_angle_gamma 90.00
loop_
_atom_site_label
_atom_site_type_symbol
_atom_site_fract_x
_atom_site_fract_y
_atom_site_fract_z
_atom_site_occupancy
Rb1 Rb 0.000 0.000 0.000 1
Sc1 Sc 0.000 0.000 0.500 1
Tl1 Tl 0.250 0.250 0.250 1
```

N(E_F) = 0.33 states/eV per atom
spin magnetization = 0.0 μB per formula unit
DFT formation energy = 0.165 eV per atom
distance to the lowest polymorph of the same formula = 27.1 kJ/mol of atoms


6.
Compound: RbScTl2
Source: Alexandria via LeMat-Bulk
Functional: GGA-PBE
Structure: optimized geometry

The structure in CIF format:
```
data_RbScTl2
_chemical_formula_sum 'Rb3 Sc3 Tl6'
_symmetry_space_group_name_H-M 'R -3 m'
_symmetry_Int_Tables_number 166
_symmetry_space_group_name_Hall '-R 3 2"'
_cell_length_a 3.6488
_cell_length_b 3.6488
_cell_length_c 32.6923
_cell_angle_alpha 90.00
_cell_angle_beta 90.00
_cell_angle_gamma 120.00
loop_
_atom_site_label
_atom_site_type_symbol
_atom_site_fract_x
_atom_site_fract_y
_atom_site_fract_z
_atom_site_occupancy
Rb1 Rb 0.0000 0.0000 0.0000 1
Sc1 Sc 0.0000 0.0000 0.5000 1
Tl1 Tl 0.0000 0.0000 0.2383 1
```

N(E_F) = 1.01 states/eV per atom
spin magnetization = 0.0 μB per formula unit
DFT formation energy = 0.038 eV per atom
distance to the lowest polymorph of the same formula = 14.8 kJ/mol of atoms


7.
Compound: RbSc2Tl
Source: Alexandria via LeMat-Bulk
Functional: GGA-PBE
Structure: optimized geometry

The structure in CIF format:
```
data_RbSc2Tl
_chemical_formula_sum 'Rb4 Sc8 Tl4'
_symmetry_space_group_name_H-M 'F m -3 m'
_symmetry_Int_Tables_number 225
_symmetry_space_group_name_Hall '-F 4 2 3'
_cell_length_a 7.600
_cell_length_b 7.600
_cell_length_c 7.600
_cell_angle_alpha 90.00
_cell_angle_beta 90.00
_cell_angle_gamma 90.00
loop_
_atom_site_label
_atom_site_type_symbol
_atom_site_fract_x
_atom_site_fract_y
_atom_site_fract_z
_atom_site_occupancy
Rb1 Rb 0.000 0.000 0.000 1
Sc1 Sc 0.250 0.250 0.250 1
Tl1 Tl 0.000 0.000 0.500 1
```

N(E_F) = 0.75 states/eV per atom
spin magnetization = 1.9 μB per formula unit
DFT formation energy = 0.441 eV per atom
distance to the lowest polymorph of the same formula = 11.8 kJ/mol of atoms


8.
Compound: RbSc2Tl
Source: Alexandria via LeMat-Bulk
Functional: GGA-PBE
Structure: optimized geometry

The structure in CIF format:
```
data_RbSc2Tl
_chemical_formula_sum 'Rb4 Sc8 Tl4'
_symmetry_space_group_name_H-M 'I 41/a m d'
_symmetry_Int_Tables_number 141
_cell_length_a 5.943
_cell_length_b 5.943
_cell_length_c 20.373
_cell_angle_alpha 90.00
_cell_angle_beta 90.00
_cell_angle_gamma 90.00
loop_
_symmetry_equiv_pos_as_xyz
'x,y,z'
'-x,-y,-z'
'-y+1/4,x+3/4,z+1/4'
'y+1/4,-x+3/4,-z+1/4'
'-x+1/2,-y,z+1/2'
'x+1/2,y,-z+1/2'
'y+1/4,-x+1/4,z+3/4'
'-y+1/4,x+1/4,-z+3/4'
'x,-y,-z'
'-x,y,z'
'-y+1/4,-x+1/4,-z+3/4'
'y+1/4,x+1/4,z+3/4'
'-x+1/2,y,-z+1/2'
'x+1/2,-y,z+1/2'
'y+1/4,x+3/4,-z+1/4'
'-y+1/4,-x+3/4,z+1/4'
'x+1/2,y+1/2,z+1/2'
'-x+1/2,-y+1/2,-z+1/2'
'-y+3/4,x+1/4,z+3/4'
'y+3/4,-x+1/4,-z+3/4'
'-x,-y+1/2,z'
'x,y+1/2,-z'
'y+3/4,-x+3/4,z+1/4'
'-y+3/4,x+3/4,-z+1/4'
'x+1/2,-y+1/2,-z+1/2'
'-x+1/2,y+1/2,z+1/2'
'-y+3/4,-x+3/4,-z+1/4'
'y+3/4,x+3/4,z+1/4'
'-x,y+1/2,-z'
'x,-y+1/2,z'
'y+3/4,x+1/4,-z+3/4'
'-y+3/4,-x+1/4,z+3/4'
loop_
_atom_site_label
_atom_site_type_symbol
_atom_site_fract_x
_atom_site_fract_y
_atom_site_fract_z
_atom_site_occupancy
Rb1 Rb 0.000 0.250 0.375 1
Sc1 Sc 0.000 0.000 0.000 1
Tl1 Tl 0.000 0.250 0.875 1
```

N(E_F) = 1.62 states/eV per atom
spin magnetization = 2.0 μB per formula unit
DFT formation energy = 0.659 eV per atom
distance to the lowest polymorph of the same formula = 32.8 kJ/mol of atoms


9.
Compound: Rb2ScTlV
Source: Alexandria via LeMat-Bulk
Functional: GGA-PBE
Structure: optimized geometry

The structure in CIF format:
```
data_Rb2ScTlV
_chemical_formula_sum 'Rb2 Sc1 Tl1 V1'
_symmetry_space_group_name_H-M 'P 4/m m m'
_symmetry_Int_Tables_number 123
_symmetry_space_group_name_Hall '-P 4 2'
_cell_length_a 6.859
_cell_length_b 6.859
_cell_length_c 5.301
_cell_angle_alpha 90.00
_cell_angle_beta 90.00
_cell_angle_gamma 90.00
loop_
_atom_site_label
_atom_site_type_symbol
_atom_site_fract_x
_atom_site_fract_y
_atom_site_fract_z
_atom_site_occupancy
Rb1 Rb 0.000 0.500 0.000 1
Sc1 Sc 0.000 0.000 0.500 1
Tl1 Tl 0.500 0.500 0.500 1
V1 V 0.000 0.000 0.000 1
```

N(E_F) = 1.24 states/eV per atom
spin magnetization = 5.4 μB per formula unit
DFT formation energy = 1.046 eV per atom


10.
Compound: RbTm2Sc
Source: Alexandria via LeMat-Bulk
Functional: GGA-PBE
Structure: optimized geometry

The structure in CIF format:
```
data_RbTm2Sc
_chemical_formula_sum 'Rb3 Tm6 Sc3'
_symmetry_space_group_name_H-M 'R -3 m'
_symmetry_Int_Tables_number 166
_symmetry_space_group_name_Hall '-R 3 2"'
_cell_length_a 3.5096
_cell_length_b 3.5096
_cell_length_c 38.2404
_cell_angle_alpha 90.00
_cell_angle_beta 90.00
_cell_angle_gamma 120.00
loop_
_atom_site_label
_atom_site_type_symbol
_atom_site_fract_x
_atom_site_fract_y
_atom_site_fract_z
_atom_site_occupancy
Rb1 Rb 0.0000 0.0000 0.0000 1
Tm1 Tm 0.0000 0.0000 0.0985 1
Sc1 Sc 0.0000 0.0000 0.5000 1
```

N(E_F) = 1.11 states/eV per atom
spin magnetization = 0.0 μB per formula unit
DFT formation energy = 0.346 eV per atom


11.
Compound: RbSc3V
Source: Alexandria via LeMat-Bulk
Functional: GGA-PBE
Structure: optimized geometry

The structure in CIF format:
```
data_RbSc3V
_chemical_formula_sum 'Rb1 Sc3 V1'
_symmetry_space_group_name_H-M 'P m -3 m'
_symmetry_Int_Tables_number 221
_symmetry_space_group_name_Hall '-P 4 2 3'
_cell_length_a 5.291
_cell_length_b 5.291
_cell_length_c 5.291
_cell_angle_alpha 90.00
_cell_angle_beta 90.00
_cell_angle_gamma 90.00
loop_
_atom_site_label
_atom_site_type_symbol
_atom_site_fract_x
_atom_site_fract_y
_atom_site_fract_z
_atom_site_occupancy
Rb1 Rb 0.000 0.000 0.000 1
Sc1 Sc 0.000 0.500 0.500 1
V1 V 0.500 0.500 0.500 1
```

N(E_F) = 1.22 states/eV per atom
spin magnetization = 2.1 μB per formula unit
DFT formation energy = 0.688 eV per atom
distance to the lowest polymorph of the same formula = 0.0 kJ/mol of atoms


12.
Compound: RbSc3V
Source: Alexandria via LeMat-Bulk
Functional: GGA-PBE
Structure: optimized geometry

The structure in CIF format:
```
data_RbSc3V
_chemical_formula_sum 'Rb1 Sc3 V1'
_symmetry_space_group_name_H-M 'P m -3 m'
_symmetry_Int_Tables_number 221
_symmetry_space_group_name_Hall '-P 4 2 3'
_cell_length_a 5.023
_cell_length_b 5.023
_cell_length_c 5.023
_cell_angle_alpha 90.00
_cell_angle_beta 90.00
_cell_angle_gamma 90.00
loop_
_atom_site_label
_atom_site_type_symbol
_atom_site_fract_x
_atom_site_fract_y
_atom_site_fract_z
_atom_site_occupancy
Rb1 Rb 0.000 0.000 0.000 1
Sc1 Sc 0.000 0.000 0.500 1
V1 V 0.500 0.500 0.500 1
```

N(E_F) = 1.37 states/eV per atom
spin magnetization = 3.1 μB per formula unit
DFT formation energy = 1.730 eV per atom
distance to the lowest polymorph of the same formula = 100.5 kJ/mol of atoms


The highest spin magnetization belongs to which entry?
Rb2ScTlV


Which of these has the highest spin magnetization?
Rb2ScTlV


Which formula does entry 5 have?
RbScTl2


What is the N(E_F) in the eleventh record?
1.22 states/eV per atom